# 1
First-principles (GGA-PBEsol) data for a geometry-optimized Sc4SbSe structure, as listed in the Alexandria database.

* E_tot: -35.77 eV/cell
* formation energy (no corrections): -0.16 eV per atom
* space-group type: F-43m, No. 216
* volume: 21.816 Å³/atom

Lattice parameters (Å, degrees): 5.6992 5.6992 5.6992 60.00 60.00 60.00
Positions (direct):
Sb1 0.0000 0.0000 0.0000
Sc1 0.3743 0.3743 0.3743
Sc2 0.3743 0.3743 0.8770
Sc3 0.8770 0.3743 0.3743
Sc4 0.3743 0.8770 0.3743
Se1 0.7500 0.7500 0.7500

=====

# 2
First-principles (GGA-PBEsol) data for a geometry-optimized Ba2NiTeO6 structure, as listed in the Alexandria database.

* E_tot: -127.65 eV/cell
* formation energy (no corrections): -1.83 eV per atom
* space-group type: R-3m, No. 166
* volume: 13.818 Å³/atom

Lattice parameters (Å, degrees): 5.7921 5.7921 10.0827 73.31 73.31 60.00
Positions (direct):
Ba1 0.7149 0.7149 0.8552
Ba2 0.2851 0.2851 0.1448
Ba3 0.8749 0.8749 0.3752
Ba4 0.1251 0.1251 0.6248
Ni1 0.4068 0.4068 0.7797
Ni2 0.5932 0.5932 0.2203
Te1 0.5000 0.5000 0.5000
Te2 0.0000 0.0000 0.0000
O1 0.7262 0.1971 0.8796
O2 0.1971 0.7262 0.8796
O3 0.1971 0.1971 0.8796
O4 0.8029 0.8029 0.1204
O5 0.2738 0.8029 0.1204
O6 0.8029 0.2738 0.1204
O7 0.8487 0.3878 0.3757
O8 0.3878 0.8487 0.3757
O9 0.6122 0.1513 0.6243
O10 0.1513 0.6122 0.6243
O11 0.6122 0.6122 0.6243
O12 0.3878 0.3878 0.3757

=====

# 3
First-principles (GGA-PBEsol) data for a geometry-optimized SrPb3 structure, as listed in the Alexandria database.

* E_tot: -15.41 eV/cell
* energy of formation from the pure elements: -0.392 eV per atom
* space-group type: Pm-3m, No. 221
* volume: 29.871 Å³/atom

Lattice parameters (Å, degrees): 4.9253 4.9253 4.9253 90.00 90.00 90.00
Positions (direct):
Pb1 0.5000 0.5000 0.0000
Pb2 0.0000 0.5000 0.5000
Pb3 0.5000 0.0000 0.5000
Sr1 0.0000 0.0000 0.0000

=====

# 4
First-principles (GGA-PBEsol) data for a geometry-optimized ZrTl2Si2 structure, as listed in the Alexandria database.

* E_tot: -24.55 eV/cell
* formation energy (no corrections): 0.26 eV per atom
* space-group type: I4/mmm, No. 139
* volume: 21.273 Å³/atom

Lattice parameters (Å, degrees): 3.3593 3.3593 9.7203 99.95 99.95 90.00
Positions (direct):
Tl1 0.3919 0.3919 0.7838
Tl2 0.6081 0.6081 0.2162
Si1 0.2500 0.7500 0.5000
Si2 0.7500 0.2500 0.5000
Zr1 0.0000 0.0000 0.0000

=====

# 5
First-principles (GGA-PBEsol) data for a geometry-optimized SnH22Cl6O10 structure, as listed in the Alexandria database.

* E_tot: -363.52 eV/cell
* space-group type: P2_1/c, No. 14
* volume: 11.098 Å³/atom

Lattice parameters (Å, degrees): 7.0835 8.8696 13.7945 92.78 90.00 90.00
Positions (direct):
Sn1 0.5000 0.5000 0.5000
Sn2 0.0000 0.0000 0.0000
H1 0.3900 0.2183 0.7571
H2 0.6100 0.7817 0.2429
H3 0.2920 0.2280 0.8624
H4 0.2419 0.6509 0.7886
H5 0.8900 0.2817 0.7429
H6 0.2581 0.1509 0.2886
H7 0.4937 0.3809 0.8570
H8 0.8898 0.7251 0.5877
H9 0.5082 0.7813 0.8129
H10 0.1102 0.2749 0.4123
H11 0.5083 0.0135 0.6916
H12 0.6102 0.2251 0.0877
H13 0.4918 0.2187 0.1870
H14 0.1963 0.5365 0.6982
H15 0.4646 0.4308 0.1205
H16 0.0090 0.6402 0.1107
H17 0.0082 0.7187 0.6871
H18 0.7755 0.9487 0.3687
H19 0.6963 0.9635 0.8018
H20 0.7920 0.2720 0.6376
H21 0.8037 0.4635 0.3018
H22 0.7245 0.4487 0.8687
H23 0.0354 0.9308 0.6205
H24 0.1100 0.7183 0.2571
H25 0.2245 0.0513 0.6313
H26 0.7080 0.7720 0.1376
H27 0.9646 0.0692 0.3795
H28 0.5090 0.8598 0.3893
H29 0.2080 0.7280 0.3624
H30 0.0083 0.4865 0.8084
H31 0.4910 0.1402 0.6107
H32 0.9917 0.5135 0.1916
H33 0.2755 0.5513 0.1313
H34 0.3898 0.7749 0.9123
H35 0.5354 0.5692 0.8795
H36 0.3037 0.0365 0.1982
H37 0.7419 0.8491 0.7114
H38 0.9937 0.1191 0.6430
H39 0.9910 0.3598 0.8893
H40 0.7581 0.3491 0.2114
H41 0.5063 0.6191 0.1430
H42 0.9918 0.2813 0.3130
H43 0.0063 0.8809 0.3570
H44 0.4917 0.9865 0.3084
Cl1 0.1935 0.4008 0.5517
Cl2 0.9001 0.0206 0.1668
Cl3 0.6935 0.0992 0.9483
Cl4 0.6250 0.2402 0.4880
Cl5 0.4001 0.4794 0.3332
Cl6 0.8750 0.7402 0.9880
Cl7 0.5999 0.5206 0.6668
Cl8 0.3750 0.7598 0.5120
Cl9 0.8065 0.5992 0.4483
Cl10 0.3065 0.9008 0.0517
Cl11 0.0999 0.9794 0.8332
Cl12 0.1250 0.2598 0.0120
O1 0.0765 0.5948 0.1653
O2 0.6421 0.7118 0.1853
O3 0.0722 0.2132 0.3537
O4 0.9278 0.7868 0.6463
O5 0.5765 0.9052 0.3347
O6 0.1421 0.7882 0.3147
O7 0.5722 0.2868 0.1463
O8 0.1354 0.6031 0.7487
O9 0.4278 0.7132 0.8537
O10 0.8579 0.2118 0.6853
O11 0.4129 0.5367 0.1072
O12 0.8646 0.3969 0.2513
O13 0.4235 0.0948 0.6653
O14 0.0871 0.0367 0.6072
O15 0.3646 0.1031 0.2487
O16 0.3579 0.2882 0.8147
O17 0.9235 0.4052 0.8347
O18 0.9129 0.9633 0.3928
O19 0.6354 0.8969 0.7513
O20 0.5871 0.4633 0.8928

=====

# 6
First-principles (GGA-PBEsol) data for a geometry-optimized Nb3SiAg structure, as listed in the Alexandria database.

* E_tot: -37.71 eV/cell
* formation energy (no corrections): 0.76 eV per atom
* space-group type: Pm-3m, No. 221
* volume: 19.767 Å³/atom

Lattice parameters (Å, degrees): 4.6235 4.6235 4.6235 90.00 90.00 90.00
Positions (direct):
Nb1 0.0000 0.5000 0.0000
Nb2 0.0000 0.0000 0.5000
Nb3 0.5000 0.0000 0.0000
Si1 0.0000 0.0000 0.0000
Ag1 0.5000 0.5000 0.5000

=====

# 7
First-principles (GGA-PBEsol) data for a geometry-optimized TlCdS2 structure, as listed in the Alexandria database.

* energy above the lowest structure with this stoichiometry: 0.0 kJ per mole of atoms
* E_tot: -13.83 eV/cell
* formation energy (no corrections): -0.31 eV per atom
* space-group type: P-3m1, No. 164
* volume: 21.859 Å³/atom

Lattice parameters (Å, degrees): 3.8488 3.8488 6.8157 90.00 90.00 120.00
Positions (direct):
Tl1 0.0000 0.0000 0.5000
Cd1 0.0000 0.0000 0.0000
S1 0.3333 0.6667 0.2237
S2 0.6667 0.3333 0.7763

=====

# 8
First-principles (GGA-PBEsol) data for a geometry-optimized Rb3TcOs structure, as listed in the Alexandria database.

* E_tot: -14.54 eV/cell
* energy of formation from the pure elements: 2.404 eV per atom
* space-group type: Pm-3m, No. 221
* volume: 47.703 Å³/atom

Lattice parameters (Å, degrees): 6.2016 6.2016 6.2016 90.00 90.00 90.00
Positions (direct):
Os1 0.0000 0.0000 0.0000
Tc1 0.5000 0.5000 0.5000
Rb1 0.0000 0.5000 0.0000
Rb2 0.0000 0.0000 0.5000
Rb3 0.5000 0.0000 0.0000

=====

Look up the volume of the sixth one. 19.767 Å³/atom

=====

What is the E_tot in the sixth record? -37.71 eV/cell

=====

Number 6 is which compound? Nb3SiAg